Record 1
Below is FeTe2H after structural relaxation, with properties calculated at the GGA-PBE level.

Unit cell a=5.5250 b=5.5250 c=10.8856 alpha=90.00 beta=90.00 gamma=90.00
Closest atoms and distances in Å follow each position.
Space group I-42d (No. 122)
Unique sites:
Fe1 0.0000 0.0000 0.0000 [4 per cell]  4 Te 2.42
Te1 0.2379 0.2500 0.6250 [8 per cell]  2 H 2.34, 2 Fe 2.42
H1 0.0000 0.0000 0.5000 [4 per cell]  4 Te 2.34

**Polymorph energy (0 for the lowest one)**: 297 meV/atom
**E**: -4.10 eV/atom
**Spin magnetization**: 3.552 μB per cell
**N(E_F)**: 0.658 states/eV/atom

---

Record 2
Below is TlPdF3 after structural relaxation, with properties calculated at the GGA-PBE level.

Unit cell a=6.5810 b=6.5810 c=8.7939 alpha=90.00 beta=90.00 gamma=120.00
Closest atoms and distances in Å follow each position.
Space group R3m (No. 160, hexagonal axes)
Unique sites:
Tl1 0.0000 0.0000 0.0000 [3 per cell]  6 F 2.35-2.52
Pd1 0.0000 0.0000 0.6249 [3 per cell]  3 F 2.24
F1 0.0338 0.5169 0.4559 [9 per cell]  1 Pd 2.24, 1 Tl 2.35

**Energy relative to the elements, uncorrected**: -1.030 eV/atom
**Polymorph energy (0 for the lowest one)**: 410 meV/atom
**E**: -3.66 eV/atom
**Spin magnetization**: 3.722 μB per cell
**N(E_F)**: 2.754 states/eV/atom

---

Record 3
Below is Ba4LaTa3O12 after structural relaxation, with properties calculated at the GGA-PBE level.

Unit cell a=8.5168 b=8.5168 c=8.5168 alpha=90.00 beta=90.00 gamma=90.00
Closest atoms and distances in Å follow each position.
Space group Im-3m (No. 229)
Unique sites:
Ba1 0.2500 0.2500 0.2500 [8 per cell]  12 O 3.01-3.02
La1 0.0000 0.0000 0.0000 [2 per cell]  6 O 2.30
Ta1 0.0000 0.0000 0.5000 [6 per cell]  6 O 1.95-2.13
O1 0.0000 0.0000 0.2705 [12 per cell]  1 Ta 1.95
O2 0.0000 0.2500 0.5000 [12 per cell]  2 Ta 2.13

**Energy relative to the elements, uncorrected**: -2.900 eV/atom
**E**: -8.28 eV/atom
**Spin magnetization**: 0.001 μB per cell
**N(E_F)**: 0.303 states/eV/atom

---

Record 4
Below is PaNiMoN3 after structural relaxation, with properties calculated at the GGA-PBE level.

Unit cell a=6.4651 b=3.1595 c=7.2897 alpha=90.00 beta=101.98 gamma=90.00
Closest atoms and distances in Å follow each position.
Space group P2_1/m (No. 11)
Unique sites:
Pa1 0.1773 0.2500 0.2220 [2 per cell]  7 N 2.36-2.48
Ni1 0.1384 0.2500 0.6052 [2 per cell]  4 N 1.94-2.07
Mo1 0.3558 0.7500 0.8776 [2 per cell]  5 N 2.08-2.20
N1 0.1205 0.2500 0.8795 [2 per cell]  1 Ni 2.03, 2 Mo 2.20
N2 0.1883 0.7500 0.4663 [2 per cell]  3 Ni 1.94-2.07
N3 0.4292 0.7500 0.1698 [2 per cell]  3 Mo 2.08-2.18

**Energy relative to the elements, uncorrected**: -0.675 eV/atom
**E**: -9.19 eV/atom
**Spin magnetization**: 0.000 μB per cell
**N(E_F)**: 0.474 states/eV/atom